Entry 1:
Crystalline Sr2NiCl at its relaxed geometry, computed with PBE.

a = 3.831 Å, b = 3.713 Å, c = 8.313 Å
α = 90.00°, β = 90.06°, γ = 90.00°
Fractional positions:
Sr: 0.005 0.000 0.213
Sr: 0.995 0.000 0.787
Ni: 0.500 0.500 0.000
Cl: 0.000 0.500 0.500

As for the offset from the most stable computed form: 63 meV per atom. Its space group is P2/m, No. 10.


Entry 2:
Crystalline SrNiCl3 at its relaxed geometry, computed with PBE.

a = 5.598 Å, b = 5.598 Å, c = 5.598 Å
α = 90.00°, β = 90.00°, γ = 90.00°
Fractional positions:
Sr: 0.000 0.000 0.000
Ni: 0.500 0.500 0.500
Cl: 0.000 0.000 0.500
Cl: 0.000 0.500 0.000
Cl: 0.500 0.000 0.000

As for the offset from the most stable computed form: 577 meV per atom. Its space group is Pm-3m, No. 221.


Entry 3:
Crystalline Sr2NiCl at its relaxed geometry, computed with PBE.

a = 3.849 Å, b = 3.877 Å, c = 15.904 Å
α = 90.00°, β = 90.00°, γ = 90.00°
Fractional positions:
Sr: 0.000 0.000 0.000
Sr: 0.000 0.500 0.278
Sr: 0.500 0.000 0.778
Sr: 0.500 0.500 0.500
Ni: 0.000 0.000 0.415
Ni: 0.500 0.500 0.915
Cl: 0.000 0.500 0.671
Cl: 0.500 0.000 0.171

As for the offset from the most stable computed form: 115 meV per atom. Its space group is Imm2, No. 44.


Entry 4:
Crystalline Sr2NiCl at its relaxed geometry, computed with PBE.

a = 7.540 Å, b = 7.540 Å, c = 7.540 Å
α = 90.00°, β = 90.00°, γ = 90.00°
Fractional positions:
Sr: 0.250 0.250 0.250
Sr: 0.250 0.250 0.750
Sr: 0.250 0.750 0.250
Sr: 0.250 0.750 0.750
Sr: 0.750 0.250 0.250
Sr: 0.750 0.250 0.750
Sr: 0.750 0.750 0.250
Sr: 0.750 0.750 0.750
Ni: 0.000 0.000 0.000
Ni: 0.000 0.500 0.500
Ni: 0.500 0.000 0.500
Ni: 0.500 0.500 0.000
Cl: 0.000 0.000 0.500
Cl: 0.000 0.500 0.000
Cl: 0.500 0.000 0.000
Cl: 0.500 0.500 0.500

As for the offset from the most stable computed form: 274 meV per atom. Its space group is Fm-3m, No. 225.


Entry 5:
Crystalline SrNiCl4 at its relaxed geometry, computed with PBE.

a = 6.808 Å, b = 6.808 Å, c = 7.357 Å
α = 90.00°, β = 90.00°, γ = 90.00°
Fractional positions:
Sr: 0.000 0.000 0.000
Sr: 0.500 0.500 0.500
Ni: 0.000 0.500 0.750
Ni: 0.500 0.000 0.250
Cl: 0.226 0.272 0.749
Cl: 0.228 0.726 0.751
Cl: 0.272 0.774 0.251
Cl: 0.274 0.228 0.249
Cl: 0.726 0.772 0.249
Cl: 0.728 0.226 0.251
Cl: 0.772 0.274 0.751
Cl: 0.774 0.728 0.749

Its space group is I-4, No. 82.


Entry 6:
Crystalline Sr3Ni5Cl12 at its relaxed geometry, computed with PBE.

a = 13.344 Å, b = 13.344 Å, c = 13.344 Å
α = 109.47°, β = 109.47°, γ = 109.47°
Fractional positions:
Sr: 0.125 0.250 0.375
Sr: 0.125 0.375 0.750
Sr: 0.250 0.375 0.125
Sr: 0.250 0.875 0.625
Sr: 0.375 0.125 0.250
Sr: 0.375 0.750 0.125
Sr: 0.625 0.250 0.875
Sr: 0.625 0.875 0.750
Sr: 0.750 0.125 0.375
Sr: 0.750 0.625 0.875
Sr: 0.875 0.625 0.250
Sr: 0.875 0.750 0.625
Ni: 0.000 0.000 0.000
Ni: 0.000 0.000 0.500
Ni: 0.000 0.500 0.000
Ni: 0.000 0.500 0.500
Ni: 0.125 0.750 0.875
Ni: 0.125 0.875 0.250
Ni: 0.250 0.125 0.875
Ni: 0.250 0.625 0.375
Ni: 0.375 0.250 0.625
Ni: 0.375 0.625 0.750
Ni: 0.500 0.000 0.000
Ni: 0.500 0.000 0.500
Ni: 0.500 0.500 0.000
Ni: 0.500 0.500 0.500
Ni: 0.625 0.375 0.250
Ni: 0.625 0.750 0.375
Ni: 0.750 0.375 0.625
Ni: 0.750 0.875 0.125
Ni: 0.875 0.125 0.750
Ni: 0.875 0.250 0.125
Cl: 0.023 0.202 0.116
Cl: 0.023 0.321 0.907
Cl: 0.086 0.702 0.679
Cl: 0.086 0.884 0.407
Cl: 0.093 0.616 0.414
Cl: 0.093 0.977 0.679
Cl: 0.116 0.023 0.202
Cl: 0.116 0.593 0.914
Cl: 0.179 0.202 0.586
Cl: 0.179 0.477 0.593
Cl: 0.202 0.116 0.023
Cl: 0.202 0.586 0.179
Cl: 0.298 0.321 0.914
Cl: 0.298 0.477 0.384
Cl: 0.321 0.907 0.023
Cl: 0.321 0.914 0.298
Cl: 0.384 0.298 0.477
Cl: 0.384 0.586 0.907
Cl: 0.407 0.086 0.884
Cl: 0.407 0.821 0.523
Cl: 0.414 0.093 0.616
Cl: 0.414 0.821 0.798
Cl: 0.477 0.384 0.298
Cl: 0.477 0.593 0.179
Cl: 0.523 0.407 0.821
Cl: 0.523 0.616 0.702
Cl: 0.586 0.179 0.202
Cl: 0.586 0.907 0.384
Cl: 0.593 0.179 0.477
Cl: 0.593 0.914 0.116
Cl: 0.616 0.414 0.093
Cl: 0.616 0.702 0.523
Cl: 0.679 0.086 0.702
Cl: 0.679 0.093 0.977
Cl: 0.702 0.523 0.616
Cl: 0.702 0.679 0.086
Cl: 0.798 0.414 0.821
Cl: 0.798 0.884 0.977
Cl: 0.821 0.523 0.407
Cl: 0.821 0.798 0.414
Cl: 0.884 0.407 0.086
Cl: 0.884 0.977 0.798
Cl: 0.907 0.023 0.321
Cl: 0.907 0.384 0.586
Cl: 0.914 0.116 0.593
Cl: 0.914 0.298 0.321
Cl: 0.977 0.679 0.093
Cl: 0.977 0.798 0.884

Its space group is Ia-3d, No. 230.


In order of appearance, ΔE_f (raw) = -3.07 -3.73 -2.86 -2.23 -8.69 -24.03 eV/f.u..